(1)
Hf4Zr2Ni3N3: optimized geometry, PBE.

Properties
Final energy   -9.19 eV/atom
Total moment   0.00 μB/f.u.

Structure (extended XYZ):
```
24
Lattice="4.741 -2.736 0.000 4.741 2.736 0.000 -3.274 0.000 13.373" Properties=species:S:1:pos:R:3 pbc="T T T"
Hf 0.767 -0.451 5.452
Hf -0.870 0.451 12.139
Hf 5.442 0.451 7.921
Hf 7.065 -0.487 5.452
Hf -0.855 0.487 7.921
Hf 5.428 0.487 12.139
Hf 0.781 -0.487 1.234
Hf 7.079 -0.451 1.234
Zr 2.249 0.454 11.816
Zr 2.324 0.454 8.244
Zr 3.961 -0.454 1.557
Zr 3.885 -0.454 5.129
N 0.734 1.368 6.687
N 3.951 1.366 0.001
N 2.258 -1.366 13.372
N 2.371 -1.368 0.000
N 2.314 -1.366 6.688
N 3.895 1.366 6.685
Ni 6.219 0.858 3.343
Ni 3.923 2.338 3.343
Ni -0.010 -0.858 10.030
Ni 2.286 -2.338 10.030
Ni 4.582 -0.858 10.029
Ni 1.627 0.858 3.344
```

---

(2)
Hf2N2O: optimized geometry, PBE.

Properties
Final energy   -10.55 eV/atom
Total moment   0.00 μB/f.u.

Structure (extended XYZ):
```
5
Lattice="0.994 1.803 3.391 -3.343 2.132 -0.161 -1.529 -5.637 1.346" Properties=species:S:1:pos:R:3 pbc="T T T"
Hf -2.904 -0.408 3.507
Hf -0.977 -1.286 1.074
O -1.529 -5.635 1.347
N -3.024 -0.765 1.403
N -0.856 -0.929 3.179
```

---

(3)
HfOsNO: optimized geometry, PBE.

Properties
Relative energy among the computed polymorphs   293.7 meV/atom
Total moment   0.01 μB/f.u.

Structure (extended XYZ):
```
8
Lattice="-3.628 -0.955 -0.084 0.605 -2.025 -3.101 1.332 -5.394 3.783" Properties=species:S:1:pos:R:3 pbc="T T T"
Hf -0.693 -5.020 3.144
Hf 0.513 -1.864 -0.953
N 1.182 -4.577 0.950
N -1.362 -2.307 1.241
Os 0.666 -2.697 1.892
Os -0.846 -4.187 0.299
O -1.512 -1.490 -1.592
O 0.000 0.000 0.000
```

---

(4)
HfOsNO: optimized geometry, PBE.

Properties
Relative energy among the computed polymorphs   595.7 meV/atom
Total moment   0.01 μB/f.u.

Structure (extended XYZ):
```
8
Lattice="4.507 0.000 0.000 0.000 4.507 0.000 0.000 0.000 4.367" Properties=species:S:1:pos:R:3 pbc="T T T"
Os 0.000 2.253 0.348
Os 2.253 0.000 4.019
N 2.253 0.000 1.844
N 0.000 2.253 2.523
O 0.000 0.000 0.000
O 2.253 2.253 0.000
Hf 0.000 0.000 2.184
Hf 2.253 2.253 2.184
```

---

(5)
HfOsNO: optimized geometry, PBE.

Properties
Relative energy among the computed polymorphs   301.3 meV/atom
Total moment   0.01 μB/f.u.

Structure (extended XYZ):
```
8
Lattice="-2.203 -0.804 1.880 -3.076 -1.827 -4.385 2.431 -5.395 0.543" Properties=species:S:1:pos:R:3 pbc="T T T"
Hf -0.509 -2.862 -1.819
Hf -1.435 -5.132 -3.875
Os -0.926 -5.604 -1.078
Os -0.730 -1.714 0.815
N 0.731 -4.462 -1.051
N -1.857 -3.046 -3.478
O -2.043 -1.846 -0.780
O -1.778 -6.758 -2.570
```

---

(6)
HfOsNO: optimized geometry, PBE.

Properties
Relative energy among the computed polymorphs   219.1 meV/atom
Total moment   0.15 μB/f.u.

Structure (extended XYZ):
```
8
Lattice="-1.870 -3.239 0.000 0.000 0.000 5.013 -5.091 2.939 0.000" Properties=species:S:1:pos:R:3 pbc="T T T"
O -5.476 1.002 4.499
O -1.485 -1.302 1.993
N -1.391 0.803 4.224
N -3.700 2.136 1.717
Os -2.094 1.209 2.444
Os -2.998 1.731 4.951
Hf -4.874 0.655 2.639
Hf -2.087 -0.954 0.133
```

---

(7)
HfOsNO: optimized geometry, PBE.

Properties
Relative energy among the computed polymorphs   0.0 meV/atom
Total moment   0.00 μB/f.u.

Structure (extended XYZ):
```
16
Lattice="5.469 0.000 0.000 0.000 7.387 0.000 0.000 0.000 5.128" Properties=species:S:1:pos:R:3 pbc="T T T"
O 0.745 3.925 3.249
O 1.990 3.925 0.685
O 4.724 3.462 0.685
O 3.479 3.462 3.249
N 4.514 6.258 0.673
N 1.779 1.129 0.673
N 0.955 1.129 3.237
N 3.690 6.258 3.237
Hf 2.312 4.980 2.391
Hf 5.046 2.407 2.391
Hf 0.423 4.980 4.955
Hf 3.157 2.407 4.955
Os 0.116 0.450 4.982
Os 2.619 0.450 2.418
Os 5.353 6.937 2.418
Os 2.850 6.937 4.982
```

---

(8)
HfPbNO: optimized geometry, PBE.

Properties
Relative energy among the computed polymorphs   109.3 meV/atom
Total moment   0.00 μB/f.u.

Structure (extended XYZ):
```
8
Lattice="3.583 0.000 0.000 0.000 5.505 0.000 0.000 0.000 7.332" Properties=species:S:1:pos:R:3 pbc="T T T"
Pb 1.792 2.538 6.423
Pb 1.792 5.290 0.909
Hf 0.000 0.048 4.643
Hf 0.000 2.800 2.689
N 0.000 2.089 4.575
N 0.000 4.841 2.757
O 1.792 2.229 2.011
O 1.792 4.981 5.321
```

---

(9)
HfPbNO: optimized geometry, PBE.

Properties
Relative energy among the computed polymorphs   0.0 meV/atom
Total moment   0.00 μB/f.u.

Structure (extended XYZ):
```
8
Lattice="0.417 0.309 3.560 -3.805 -4.531 0.839 5.384 -4.564 -0.234" Properties=species:S:1:pos:R:3 pbc="T T T"
O 2.665 -7.786 2.181
O -0.709 -1.047 1.992
Pb 3.391 -3.108 -0.127
Pb -0.138 -3.994 0.363
Hf 2.751 -5.833 2.002
Hf -2.613 -5.165 2.572
N -1.991 -5.872 0.743
N 1.861 -5.258 0.239
```

---

(10)
HfPbNO: optimized geometry, PBE.

Properties
Relative energy among the computed polymorphs   355.0 meV/atom
Total moment   0.01 μB/f.u.

Structure (extended XYZ):
```
16
Lattice="5.959 0.000 0.000 0.000 7.950 0.000 0.000 0.000 5.605" Properties=species:S:1:pos:R:3 pbc="T T T"
Hf 3.490 2.879 0.147
Hf 5.449 2.879 2.949
Hf 2.470 5.070 2.949
Hf 0.510 5.070 0.147
Pb 5.793 6.841 2.862
Pb 3.146 6.841 0.059
Pb 0.167 1.108 0.059
Pb 2.813 1.108 2.862
N 2.596 1.105 5.379
N 0.384 1.105 2.577
N 3.363 6.844 2.577
N 5.576 6.844 5.379
O 5.105 3.927 1.154
O 0.854 4.023 3.956
O 3.834 3.927 3.956
O 2.126 4.023 1.154
```

---

(11)
HfPbNO: optimized geometry, PBE.

Properties
Relative energy among the computed polymorphs   501.9 meV/atom
Total moment   0.27 μB/f.u.

Structure (extended XYZ):
```
8
Lattice="-0.135 4.023 -0.966 -3.926 0.181 1.300 2.794 2.052 8.157" Properties=species:S:1:pos:R:3 pbc="T T T"
Hf 1.397 1.026 4.078
Hf -0.633 3.128 4.245
N -0.392 1.244 5.237
N 1.156 2.910 3.086
Pb 2.370 3.801 6.631
Pb -1.606 0.353 1.693
O -2.030 2.102 0.167
O 0.000 0.000 0.000
```

---

(12)
HfPdNO: optimized geometry, PBE.

Properties
Relative energy among the computed polymorphs   117.8 meV/atom
Total moment   0.00 μB/f.u.

Structure (extended XYZ):
```
8
Lattice="-2.992 1.561 -0.462 -1.853 -2.028 5.146 2.137 4.894 2.698" Properties=species:S:1:pos:R:3 pbc="T T T"
Pd -0.733 3.548 4.179
Pd -2.755 0.026 5.369
O -1.389 3.060 6.774
O -1.941 0.688 2.334
N -0.730 0.226 5.484
N 0.622 2.212 3.447
Hf 1.457 3.383 1.990
Hf -0.322 0.416 3.487
```